An optimized crystal structure of KRb5, computed with PBE.

The structure belongs to space group Cm (No. 8); the cell edges are 18.578, 4.950 and 11.881 Å and the angles 90.00°, 105.62° and 90.00°. The asymmetric unit holds K at (0.000, 0.000, 0.000), Rb at (0.107, 0.500, 0.726), Rb at (0.163, 0.500, 0.327), Rb at (0.280, 0.000, 0.053), Rb at (0.333, 0.000, 0.671) and Rb at (0.442, 0.500, 0.387).

The value obtained for the calculated volume is 1052.35 Å³/cell. The value obtained for the magnetic moment is 0.000 Bohr magnetons per cell. The formation energy is 0.005 eV per atom. For the energy relative to the lowest polymorph listed for this composition, the calculation gives 3 meV/atom.


An optimized crystal structure of Rb3SmPa3Te8, computed with PBE.

The structure belongs to space group C2/m (No. 12); the cell edges are 15.344, 8.858 and 10.225 Å and the angles 90.00°, 119.96° and 90.00°. The asymmetric unit holds Rb at (0.000, 0.000, 0.000), Rb at (0.250, 0.250, 0.000), Sm at (0.000, 0.000, 0.500), Pa at (0.000, 0.500, 0.500), Pa at (0.250, 0.250, 0.500), Te at (0.017, 0.255, 0.296), Te at (0.235, 0.500, 0.705) and Te at (0.238, 0.000, 0.704).

The value obtained for the calculated volume is 1204.17 Å³/cell. The value obtained for the magnetic moment is 10.076 Bohr magnetons per cell. For the energy relative to the elements, uncorrected, the calculation gives -1.028 eV per atom.


An optimized crystal structure of SrTeRu, computed with PBE.

The structure belongs to space group P-6m2 (No. 187); the cell edges are 4.4711, 4.4711 and 4.6474 Å and the angles 90.00°, 90.00° and 120.00°. The asymmetric unit holds Sr at (0.0000, 0.0000, 0.0000), Te at (0.6667, 0.3333, 0.5000) and Ru at (0.3333, 0.6667, 0.5000).

The value obtained for the calculated volume is 80.46 Å³/cell. The value obtained for the magnetic moment is 0.000 Bohr magnetons per cell. For the energy relative to the elements, uncorrected, the calculation gives -0.412 eV per atom. For the energy relative to the lowest polymorph listed for this composition, the calculation gives 0 meV/atom.


An optimized crystal structure of LaYMg14, computed with PBE.

The structure belongs to space group Amm2 (No. 38); the cell edges are 10.404, 7.189 and 10.688 Å and the angles 90.00°, 90.00° and 90.00°. The asymmetric unit holds La at (0.000, 0.000, 0.000), Y at (0.000, 0.000, 0.498), Mg at (0.000, 0.250, 0.250), Mg at (0.245, 0.000, 0.744), Mg at (0.247, 0.000, 0.245), Mg at (0.267, 0.247, 0.493), Mg at (0.500, 0.000, 0.428), Mg at (0.500, 0.000, 0.932) and Mg at (0.500, 0.246, 0.687).

The value obtained for the calculated volume is 799.42 Å³/cell. The value obtained for the magnetic moment is 0.000 Bohr magnetons per cell. The formation energy is 0.003 eV per atom.


An optimized crystal structure of CoOs2Ru, computed with PBE.

The structure belongs to space group P4/mmm (No. 123); the cell edges are 2.682, 2.682 and 7.430 Å and the angles 90.00°, 90.00° and 90.00°. The asymmetric unit holds Co at (0.000, 0.000, 0.000), Os at (0.500, 0.500, 0.240) and Ru at (0.000, 0.000, 0.500).

The value obtained for the calculated volume is 53.45 Å³/cell. The value obtained for the magnetic moment is 1.073 Bohr magnetons per cell. The formation energy is 0.173 eV per atom. For the energy relative to the lowest polymorph listed for this composition, the calculation gives 32 meV/atom.


An optimized crystal structure of Sm7Dy2Y2, computed with PBE.

The structure belongs to space group C2/m (No. 12); the cell edges are 8.507, 11.037 and 8.179 Å and the angles 90.00°, 104.83° and 90.00°. The asymmetric unit holds Sm at (0.000, 0.000, 0.000), Sm at (0.079, 0.500, 0.817), Sm at (0.195, 0.291, 0.168), Dy at (0.000, 0.284, 0.500) and Y at (0.197, 0.000, 0.481).

The value obtained for the calculated volume is 742.33 Å³/cell. The value obtained for the magnetic moment is 0.000 Bohr magnetons per cell. The formation energy is 0.143 eV per atom. For the energy relative to the lowest polymorph listed for this composition, the calculation gives 0 meV/atom.


An optimized crystal structure of LiHf2C2, computed with PBE.

The structure belongs to space group P4/mbm (No. 127); the cell edges are 6.241, 6.241 and 3.111 Å and the angles 90.00°, 90.00° and 90.00°. The asymmetric unit holds Li at (0.000, 0.000, 0.000), Hf at (0.161, 0.339, 0.500) and C at (0.158, 0.658, 0.000).

The value obtained for the calculated volume is 121.15 Å³/cell. The value obtained for the magnetic moment is 0.000 Bohr magnetons per cell. The formation energy is -0.239 eV per atom. For the energy relative to the lowest polymorph listed for this composition, the calculation gives 0 meV/atom.


An optimized crystal structure of Er4Al3Co, computed with PBE.

The structure belongs to space group P4/mmm (No. 123); the cell edges are 3.446, 3.446 and 14.571 Å and the angles 90.00°, 90.00° and 90.00°. The asymmetric unit holds Er at (0.000, 0.000, 0.109), Er at (0.000, 0.000, 0.369), Al at (0.500, 0.500, 0.240), Al at (0.500, 0.500, 0.500) and Co at (0.500, 0.500, 0.000).

The value obtained for the calculated volume is 173.01 Å³/cell. The value obtained for the magnetic moment is 0.635 Bohr magnetons per cell. The formation energy is -0.357 eV per atom.


An optimized crystal structure of ZrTaMo2, computed with PBE.

The structure belongs to space group P4/mmm (No. 123); the cell edges are 4.643, 4.643 and 3.283 Å and the angles 90.00°, 90.00° and 90.00°. The asymmetric unit holds Zr at (0.000, 0.000, 0.000), Ta at (0.500, 0.500, 0.000) and Mo at (0.000, 0.500, 0.500).

The value obtained for the calculated volume is 70.76 Å³/cell. The value obtained for the magnetic moment is 0.000 Bohr magnetons per cell. The formation energy is -0.042 eV per atom. For the energy relative to the lowest polymorph listed for this composition, the calculation gives 32 meV/atom.


An optimized crystal structure of NaErPbCl6, computed with PBE.

The structure belongs to space group P-31c (No. 163); the cell edges are 7.0016, 7.0016 and 12.4665 Å and the angles 90.00°, 90.00° and 120.00°. The asymmetric unit holds Na at (0.3333, 0.6667, 0.2500), Er at (0.3333, 0.6667, 0.7500), Pb at (0.0000, 0.0000, 0.0000) and Cl at (0.0208, 0.3593, 0.6305).

The value obtained for the calculated volume is 529.26 Å³/cell. The value obtained for the magnetic moment is 0.000 Bohr magnetons per cell. For the energy relative to the elements, uncorrected, the calculation gives -1.805 eV per atom.


An optimized crystal structure of AcNd12Tm3, computed with PBE.

The structure belongs to space group P4/mmm (No. 123); the cell edges are 5.182, 5.182 and 20.707 Å and the angles 90.00°, 90.00° and 90.00°. The asymmetric unit holds Ac at (0.000, 0.000, 0.000), Nd at (0.000, 0.500, 0.132), Nd at (0.000, 0.500, 0.377), Nd at (0.500, 0.500, 0.000), Nd at (0.500, 0.500, 0.256), Nd at (0.500, 0.500, 0.500), Tm at (0.000, 0.000, 0.254) and Tm at (0.000, 0.000, 0.500).

The value obtained for the calculated volume is 555.95 Å³/cell. The value obtained for the magnetic moment is 0.000 Bohr magnetons per cell. The formation energy is 0.021 eV per atom.


An optimized crystal structure of Zn2CdPd2, computed with PBE.

The structure belongs to space group I4/mmm (No. 139); the cell edges are 3.668, 3.668 and 12.801 Å and the angles 90.00°, 90.00° and 90.00°. The asymmetric unit holds Zn at (0.000, 0.500, 0.250), Cd at (0.000, 0.000, 0.000) and Pd at (0.000, 0.000, 0.394).

The value obtained for the calculated volume is 172.22 Å³/cell. The value obtained for the magnetic moment is 0.000 Bohr magnetons per cell. The formation energy is -0.278 eV per atom. For the energy relative to the lowest polymorph listed for this composition, the calculation gives 131 meV/atom.


Q: Number 9 is which compound?
A: ZrTaMo2


Q: Which of these has the lowest calculated volume?
A: CoOs2Ru